Entry 1:
The following is a DFT calculation (GGA-PBE) of a relaxed CsHPd crystal.

It has space group Fddd (No. 70, origin choice 2), with a = 3.510 Å, b = 18.554 Å, c = 18.603 Å, α = 90.00°, β = 90.00° and γ = 90.00°. Symmetry generates all atoms from Cs at (0.125, 0.125, 0.251), H at (0.125, 0.001, 0.125) and Pd at (0.125, 0.002, 0.625).

Its energy above the most stable polymorph in this dataset is 161 meV per atom. As for the calculated density: 5.27 g cm⁻³.

***

Entry 2:
The following is a DFT calculation (GGA-PBE) of a relaxed Li2Cr2Sb crystal.

It has space group P4/mbm (No. 127), with a = 6.398 Å, b = 6.398 Å, c = 4.392 Å, α = 90.00°, β = 90.00° and γ = 90.00°. Symmetry generates all atoms from Li at (0.182, 0.318, 0.000), Cr at (0.100, 0.600, 0.500) and Sb at (0.000, 0.000, 0.500).

Its uncorrected formation energy is 0.3278 eV per atom. Its energy above the most stable polymorph in this dataset is 0 meV per atom. As for the calculated density: 4.43 g cm⁻³. The density of states at the Fermi level is 0.7547 states/eV per atom.